1.
A plane-wave DFT calculation with PBE-GGA was carried out for crystalline Zr4ScPd5 at its relaxed geometry.

a = 3.3565 Å, b = 3.3565 Å, c = 16.6828 Å
α = 90.00°, β = 90.00°, γ = 90.00°
Last column: nearest neighbours and their distance in Å.
Atoms (fractional coordinates):
1 Zr 0.0000 0.0000 0.1005  8 Pd 2.91
2 Zr 0.0000 0.0000 0.3007  8 Pd 2.90-2.91
3 Zr 0.0000 0.0000 0.6993  8 Pd 2.90-2.91
4 Zr 0.0000 0.0000 0.8995  8 Pd 2.91
5 Sc 0.0000 0.0000 0.5000  8 Pd 2.88
6 Pd 0.5000 0.5000 0.0000  8 Zr 2.91
7 Pd 0.5000 0.5000 0.2010  8 Zr 2.90-2.91
8 Pd 0.5000 0.5000 0.4019  4 Sc 2.88, 4 Zr 2.91
9 Pd 0.5000 0.5000 0.5981  4 Sc 2.88, 4 Zr 2.91
10 Pd 0.5000 0.5000 0.7990  8 Zr 2.90-2.91

Calculated volume ... 18.8 Å³ per atom
Theoretical density ... 8.322 g cm⁻³
Density of states at the Fermi level ... 11.91 states/eV per cell
DFT total energy ... -7.2844 eV per atom

=====

2.
A plane-wave DFT calculation with PBE-GGA was carried out for crystalline Sn6BiPb12 at its relaxed geometry.

a = 9.1202 Å, b = 9.1202 Å, c = 9.1202 Å
α = 100.65°, β = 100.65°, γ = 100.65°
Last column: nearest neighbours and their distance in Å.
Atoms (fractional coordinates):
1 Sn 0.0754 0.6449 0.7921  7 Pb 3.17-3.28
2 Sn 0.2079 0.9246 0.3551  7 Pb 3.17-3.28
3 Sn 0.3551 0.2079 0.9246  7 Pb 3.17-3.28
4 Sn 0.6448 0.7921 0.0754  7 Pb 3.17-3.28
5 Sn 0.7921 0.0754 0.6448  7 Pb 3.17-3.28
6 Sn 0.9246 0.3551 0.2079  7 Pb 3.17-3.28
7 Bi 0.5000 0.5000 0.5000  6 Pb 3.25
8 Pb 0.0470 0.3256 0.9006  4 Sn 3.17-3.23
9 Pb 0.0994 0.9530 0.6744  4 Sn 3.17-3.23
10 Pb 0.1766 0.6061 0.4628  3 Sn 3.17-3.28, 1 Bi 3.25
11 Pb 0.3256 0.9006 0.0470  4 Sn 3.17-3.23
12 Pb 0.3939 0.5372 0.8234  3 Sn 3.17-3.28, 1 Bi 3.25
13 Pb 0.4628 0.1766 0.6061  3 Sn 3.17-3.28, 1 Bi 3.25
14 Pb 0.5372 0.8234 0.3939  3 Sn 3.17-3.28, 1 Bi 3.25
15 Pb 0.6061 0.4628 0.1766  3 Sn 3.17-3.28, 1 Bi 3.25
16 Pb 0.6744 0.0994 0.9530  4 Sn 3.17-3.23
17 Pb 0.8234 0.3939 0.5372  3 Sn 3.17-3.28, 1 Bi 3.25
18 Pb 0.9006 0.0470 0.3256  4 Sn 3.17-3.23
19 Pb 0.9530 0.6744 0.0994  4 Sn 3.17-3.23

Calculated volume ... 37.6 Å³ per atom
Theoretical density ... 7.930 g cm⁻³
Density of states at the Fermi level ... 9.88 states/eV per cell
DFT total energy ... -3.6869 eV per atom

=====

3.
A plane-wave DFT calculation with PBE-GGA was carried out for crystalline NdHfSe2 at its relaxed geometry.

a = 7.4379 Å, b = 7.4379 Å, c = 7.4379 Å
α = 30.30°, β = 30.30°, γ = 30.30°
Last column: nearest neighbours and their distance in Å.
Atoms (fractional coordinates):
1 Nd 0.0000 0.0000 0.0000  6 Se 2.96-3.04
2 Hf 0.1719 0.1719 0.1719  6 Se 2.70-2.76
3 Se 0.5760 0.5760 0.5760  3 Hf 2.70, 3 Nd 2.96
4 Se 0.7629 0.7629 0.7629  3 Hf 2.76, 3 Nd 3.04

Calculated volume ... 23.2 Å³ per atom
Formation energy (no corrections) ... -1.30 eV per atom
Theoretical density ... 8.597 g cm⁻³
Density of states at the Fermi level ... 2.89 states/eV per cell
ΔE to the lowest computed polymorph ... 0 meV/atom
DFT total energy ... -6.7206 eV per atom

=====

4.
A plane-wave DFT calculation with PBE-GGA was carried out for crystalline Cs2SiSnCl6 at its relaxed geometry.

a = 7.6635 Å, b = 7.6635 Å, c = 7.6635 Å
α = 60.00°, β = 60.00°, γ = 60.00°
Last column: nearest neighbours and their distance in Å.
Atoms (fractional coordinates):
1 Cs 0.2500 0.2500 0.2500  12 Cl 3.83
2 Cs 0.7500 0.7500 0.7500  12 Cl 3.83
3 Si 0.0000 0.0000 0.0000  6 Cl 2.59
4 Sn 0.5000 0.5000 0.5000  6 Cl 2.83
5 Cl 0.2393 0.2393 0.7607  1 Si 2.59, 1 Sn 2.83
6 Cl 0.2393 0.7607 0.2393  1 Si 2.59, 1 Sn 2.83
7 Cl 0.2393 0.7607 0.7607  1 Si 2.59, 1 Sn 2.83
8 Cl 0.7607 0.2393 0.2393  1 Si 2.59, 1 Sn 2.83
9 Cl 0.7607 0.2393 0.7607  1 Si 2.59, 1 Sn 2.83
10 Cl 0.7607 0.7607 0.2393  1 Si 2.59, 1 Sn 2.83

Calculated volume ... 31.8 Å³ per atom
Formation energy (no corrections) ... -1.31 eV per atom
Theoretical density ... 3.263 g cm⁻³
Density of states at the Fermi level ... 0.00 states/eV per cell
DFT total energy ... -3.5316 eV per atom

=====

The lowest calculated volume belongs to which entry?
Zr4ScPd5